Computed, not measured: a relaxed RuCOF2 crystal at the GGA-PBE level of DFT.

The calculation puts the uncorrected formation energy at 0.484 eV/atom. For the density of states at the Fermi level, the calculation gives 4.9 states/eV/f.u. The value obtained for the relative energy among the computed polymorphs is 0.0000 eV/atom.

It has space group P4/mmm (No. 123), with a = 4.1775 Å, b = 4.1775 Å, c = 3.6749 Å, α = 90.00°, β = 90.00° and γ = 90.00°. Symmetry generates all atoms from Ru at (0.0000, 0.0000, 0.0000), C at (0.5000, 0.5000, 0.5000), O at (0.0000, 0.0000, 0.5000) and F at (0.0000, 0.5000, 0.0000).



Computed, not measured: a relaxed KRbNa5 crystal at the GGA-PBE level of DFT.

The value obtained for the formation energy is 19 meV/atom. For the density of states at the Fermi level, the calculation gives 3.5 states/eV/f.u. The value obtained for the relative energy among the computed polymorphs is 0.0000 eV/atom.

It has space group Pnma (No. 62), with a = 12.1003 Å, b = 7.2995 Å, c = 15.6145 Å, α = 90.00°, β = 90.00° and γ = 90.00°. Symmetry generates all atoms from K at (0.1342, 0.2500, 0.1372), Rb at (0.2466, 0.7500, 0.9370), Na at (0.0472, 0.2500, 0.8919), Na at (0.0669, 0.0007, 0.6852), Na at (0.0822, 0.7500, 0.4824) and Na at (0.1921, 0.7500, 0.2630).



Computed, not measured: a relaxed NaInGaAu crystal at the GGA-PBE level of DFT.

The value obtained for the formation energy is -148 meV/atom. For the density of states at the Fermi level, the calculation gives 1.5 states/eV/f.u. The value obtained for the relative energy among the computed polymorphs is 0.0235 eV/atom.

It has space group F-43m (No. 216), with a = 6.9778 Å, b = 6.9778 Å, c = 6.9778 Å, α = 90.00°, β = 90.00° and γ = 90.00°. Symmetry generates all atoms from Na at (0.0000, 0.0000, 0.0000), In at (0.0000, 0.0000, 0.5000), Ga at (0.2500, 0.2500, 0.7500) and Au at (0.2500, 0.2500, 0.2500).



Computed, not measured: a relaxed Ni2PtI6 crystal at the GGA-PBE level of DFT.

The calculation puts the uncorrected formation energy at -0.044 eV/atom. For the density of states at the Fermi level, the calculation gives 6.5 states/eV/f.u.

It has space group C2/c (No. 15), with a = 15.4787 Å, b = 12.3860 Å, c = 7.4770 Å, α = 90.00°, β = 111.50° and γ = 90.00°. Symmetry generates all atoms from Ni at (0.0400, 0.0756, 0.1315), Pt at (0.0000, 0.4233, 0.2500), I at (0.1028, 0.2665, 0.1594), I at (0.1062, 0.4285, 0.6332) and I at (0.1353, 0.0257, 0.4815).



Computed, not measured: a relaxed PaFeTcC crystal at the GGA-PBE level of DFT.

The value obtained for the formation energy is 55 meV/atom. For the density of states at the Fermi level, the calculation gives 2.4 states/eV/f.u.

It has space group Pmmm (No. 47), with a = 3.8351 Å, b = 4.0167 Å, c = 4.0793 Å, α = 90.00°, β = 90.00° and γ = 90.00°. Symmetry generates all atoms from Pa at (0.0000, 0.0000, 0.0000), Fe at (0.0000, 0.5000, 0.5000), Tc at (0.5000, 0.5000, 0.0000) and C at (0.5000, 0.5000, 0.5000).



Computed, not measured: a relaxed Pm4IrRu crystal at the GGA-PBE level of DFT.

The value obtained for the formation energy is -364 meV/atom. For the density of states at the Fermi level, the calculation gives 3.3 states/eV/f.u. The value obtained for the relative energy among the computed polymorphs is 0.0491 eV/atom.

It has space group P2_1/c (No. 14), with a = 7.0021 Å, b = 7.0062 Å, c = 7.0002 Å, α = 90.00°, β = 90.72° and γ = 90.00°. Symmetry generates all atoms from Pm at (0.1630, 0.1651, 0.1680), Pm at (0.3335, 0.6638, 0.1608), Ir at (0.5000, 0.0000, 0.0000) and Ru at (0.0000, 0.0000, 0.5000).



Computed, not measured: a relaxed In3TcRh crystal at the GGA-PBE level of DFT.

The value obtained for the formation energy is 700 meV/atom. For the density of states at the Fermi level, the calculation gives 4.2 states/eV/f.u. The value obtained for the relative energy among the computed polymorphs is 0.0000 eV/atom.

It has space group Pm-3m (No. 221), with a = 5.0438 Å, b = 5.0438 Å, c = 5.0438 Å, α = 90.00°, β = 90.00° and γ = 90.00°. Symmetry generates all atoms from In at (0.0000, 0.0000, 0.5000), Tc at (0.5000, 0.5000, 0.5000) and Rh at (0.0000, 0.0000, 0.0000).



Computed, not measured: a relaxed Pr5ErTl6 crystal at the GGA-PBE level of DFT.

The value obtained for the formation energy is -378 meV/atom. For the density of states at the Fermi level, the calculation gives 9.9 states/eV/f.u.

It has space group C2/m (No. 12), with a = 9.5473 Å, b = 16.5872 Å, c = 5.5336 Å, α = 90.00°, β = 125.35° and γ = 90.00°. Symmetry generates all atoms from Pr at (0.0000, 0.0000, 0.0000), Pr at (0.0000, 0.1641, 0.5000), Pr at (0.0000, 0.3272, 0.0000), Er at (0.0000, 0.5000, 0.5000), Tl at (0.2350, 0.5000, 0.2352) and Tl at (0.2418, 0.3378, 0.7416).



Computed, not measured: a relaxed InRh2Au crystal at the GGA-PBE level of DFT.

The value obtained for the formation energy is -138 meV/atom. For the density of states at the Fermi level, the calculation gives 4.9 states/eV/f.u.

It has space group P4/mmm (No. 123), with a = 4.4705 Å, b = 4.4705 Å, c = 3.3035 Å, α = 90.00°, β = 90.00° and γ = 90.00°. Symmetry generates all atoms from In at (0.0000, 0.0000, 0.0000), Rh at (0.0000, 0.5000, 0.5000) and Au at (0.5000, 0.5000, 0.0000).



no.,spin magnetization (μB/f.u.),theoretical density (g cm⁻³)
1,1.7,4.326
2,0.0,1.154
3,0.0,7.908
4,1.3,5.348
5,0.0,10.488
6,0.0,8.446
7,3.7,7.058
8,0.0,9.748
9,0.0,13.019